A relaxed SrZrBr crystal. Source: the Alexandria database, functional PBEsol.

Cell: 5.4152 5.4152 5.4152 Å, 60.00 60.00 60.00°
Fractional coordinates of all 3 atoms:
1 Sr 0.7500 0.7500 0.7500
2 Br 0.5000 0.5000 0.5000
3 Zr 0.0000 0.0000 0.0000

Computed properties:
Total magnetization in μB/f.u.: 4.5
Final energy in eV per atom: -3.48
Raw formation energy in meV per atom: 784
DOS(E_F) in states/eV/cell: 3.17
Mass density in Mg/m³: 3.83
Crystal system: cubic

---

A relaxed TaBr5 crystal. Source: the Alexandria database, functional PBEsol.

Cell: 6.1852 13.0606 18.7902 Å, 90.00 90.00 90.00°
Fractional coordinates of all 48 atoms:
1 Br 0.2814 0.2029 0.7500
2 Br 0.7814 0.2971 0.2500
3 Br 0.7186 0.7971 0.2500
4 Br 0.2186 0.7029 0.7500
5 Br 0.7323 0.0472 0.7500
6 Br 0.2323 0.4528 0.2500
7 Br 0.2677 0.9528 0.2500
8 Br 0.7677 0.5472 0.7500
9 Br 0.2734 0.9728 0.6524
10 Br 0.7734 0.5272 0.3476
11 Br 0.7266 0.0272 0.1524
12 Br 0.2266 0.4728 0.8476
13 Br 0.7266 0.0272 0.3476
14 Br 0.2266 0.4728 0.6524
15 Br 0.2734 0.9728 0.8476
16 Br 0.7734 0.5272 0.1524
17 Br 0.2395 0.2225 0.3475
18 Br 0.7395 0.2775 0.6525
19 Br 0.7605 0.7775 0.8475
20 Br 0.2605 0.7225 0.1525
21 Br 0.7605 0.7775 0.6525
22 Br 0.2605 0.7225 0.3475
23 Br 0.2395 0.2225 0.1525
24 Br 0.7395 0.2775 0.8475
25 Br 0.7532 0.0411 0.5597
26 Br 0.2532 0.4589 0.4403
27 Br 0.2468 0.9589 0.0597
28 Br 0.7468 0.5411 0.9403
29 Br 0.2468 0.9589 0.4403
30 Br 0.7468 0.5411 0.5597
31 Br 0.7532 0.0411 0.9403
32 Br 0.2532 0.4589 0.0597
33 Br 0.2386 0.7090 0.5593
34 Br 0.7386 0.7910 0.4407
35 Br 0.7614 0.2910 0.0593
36 Br 0.2614 0.2090 0.9407
37 Br 0.7614 0.2910 0.4407
38 Br 0.2614 0.2090 0.5593
39 Br 0.2386 0.7090 0.9407
40 Br 0.7386 0.7910 0.0593
41 Ta 0.5068 0.1250 0.6405
42 Ta 0.0068 0.3750 0.3595
43 Ta 0.4932 0.8750 0.1405
44 Ta 0.9932 0.6250 0.8595
45 Ta 0.4932 0.8750 0.3595
46 Ta 0.9932 0.6250 0.6405
47 Ta 0.5068 0.1250 0.8595
48 Ta 0.0068 0.3750 0.1405

Computed properties:
Total magnetization in μB/f.u.: 0.0
Final energy in eV per atom: -4.53
Raw formation energy in meV per atom: -880
DOS(E_F) in states/eV/cell: 0.00
Mass density in Mg/m³: 5.08
Crystal system: orthorhombic

---

A relaxed TaBr5 crystal. Source: the Alexandria database, functional PBEsol.

Cell: 3.0696 5.0367 11.6647 Å, 90.00 97.56 90.00°
Fractional coordinates of all 6 atoms:
1 Br 0.8301 0.0000 0.6601
2 Br 0.1699 0.0000 0.3399
3 Br 0.5000 0.0000 0.0000
4 Br 0.4113 0.5000 0.8225
5 Br 0.5887 0.5000 0.1775
6 Ta 0.0000 0.5000 0.0000

Computed properties:
Total magnetization in μB/f.u.: 0.3
Final energy in eV per atom: -3.78
Raw formation energy in meV per atom: -128
DOS(E_F) in states/eV/cell: 3.35
Mass density in Mg/m³: 5.39
Crystal system: orthorhombic

---

A relaxed TaBr3 crystal. Source: the Alexandria database, functional PBEsol.

Cell: 3.1376 3.1376 8.9083 Å, 90.00 90.00 90.00°
Fractional coordinates of all 4 atoms:
1 Br 0.0000 0.0000 0.6811
2 Br 0.5000 0.5000 0.0000
3 Br 0.0000 0.0000 0.3189
4 Ta 0.5000 0.5000 0.5000

Computed properties:
Total magnetization in μB/f.u.: 0.0
Final energy in eV per atom: -4.74
Raw formation energy in meV per atom: -200
DOS(E_F) in states/eV/cell: 1.79
Mass density in Mg/m³: 7.96
Crystal system: tetragonal

---

A relaxed TaBr5 crystal. Source: the Alexandria database, functional PBEsol.

Cell: 6.1948 13.5740 13.5740 Å, 87.51 89.46 89.46°
Fractional coordinates of all 36 atoms:
1 Ta 0.5000 0.6097 0.3903
2 Ta 0.5000 0.3903 0.6097
3 Ta 0.0192 0.2765 0.0572
4 Ta 0.0192 0.0572 0.2765
5 Ta 0.9808 0.7235 0.9428
6 Ta 0.9808 0.9428 0.7235
7 Br 0.7971 0.1151 0.1151
8 Br 0.2029 0.8849 0.8849
9 Br 0.7755 0.3013 0.9203
10 Br 0.7755 0.9203 0.3013
11 Br 0.2245 0.6987 0.0797
12 Br 0.2245 0.0797 0.6987
13 Br 0.2575 0.1637 0.9680
14 Br 0.2575 0.9680 0.1637
15 Br 0.7425 0.8363 0.0320
16 Br 0.7425 0.0320 0.8363
17 Br 0.2614 0.4140 0.0324
18 Br 0.2614 0.0324 0.4140
19 Br 0.7386 0.5860 0.9676
20 Br 0.7386 0.9676 0.5860
21 Br 0.2416 0.2191 0.2191
22 Br 0.7584 0.7809 0.7809
23 Br 0.2703 0.4964 0.3011
24 Br 0.2703 0.3011 0.4964
25 Br 0.7297 0.5036 0.6989
26 Br 0.7297 0.6989 0.5036
27 Br 0.7818 0.3661 0.1706
28 Br 0.7818 0.1706 0.3661
29 Br 0.2182 0.6339 0.8294
30 Br 0.2182 0.8294 0.6339
31 Br 0.2530 0.7469 0.3654
32 Br 0.2530 0.3654 0.7469
33 Br 0.7470 0.2531 0.6346
34 Br 0.7470 0.6346 0.2531
35 Br 0.2734 0.5521 0.5521
36 Br 0.7266 0.4479 0.4479

Computed properties:
Total magnetization in μB/f.u.: 0.0
Final energy in eV per atom: -4.53
Raw formation energy in meV per atom: -880
DOS(E_F) in states/eV/cell: 0.00
Mass density in Mg/m³: 5.07
Crystal system: monoclinic

---

A relaxed TaBr3 crystal. Source: the Alexandria database, functional PBEsol.

Cell: 4.8731 4.8731 4.8731 Å, 60.00 60.00 60.00°
Fractional coordinates of all 4 atoms:
1 Br 0.2500 0.2500 0.2500
2 Br 0.5000 0.5000 0.5000
3 Br 0.7500 0.7500 0.7500
4 Ta 0.0000 0.0000 0.0000

Computed properties:
Total magnetization in μB/f.u.: 1.8
Final energy in eV per atom: -4.10
Raw formation energy in meV per atom: 439
DOS(E_F) in states/eV/cell: 3.32
Mass density in Mg/m³: 8.54
Crystal system: cubic

---

A relaxed Ta3Br7 crystal. Source: the Alexandria database, functional PBEsol.

Cell: 9.6758 9.6758 11.5118 Å, 90.00 90.00 87.13°
Fractional coordinates of all 40 atoms:
1 Br 0.3600 0.6400 0.2699
2 Br 0.1400 0.8600 0.7699
3 Br 0.8600 0.1400 0.2301
4 Br 0.6400 0.3600 0.7301
5 Br 0.2442 0.2442 0.0000
6 Br 0.2558 0.2558 0.5000
7 Br 0.7558 0.7558 0.0000
8 Br 0.7442 0.7442 0.5000
9 Br 0.4697 0.2802 0.2472
10 Br 0.0303 0.2198 0.7472
11 Br 0.2198 0.0303 0.2528
12 Br 0.2802 0.4697 0.7528
13 Br 0.5303 0.7198 0.7528
14 Br 0.9697 0.7802 0.2528
15 Br 0.7802 0.9697 0.7472
16 Br 0.7198 0.5303 0.2472
17 Br 0.1410 0.6078 0.0146
18 Br 0.3590 0.8922 0.5146
19 Br 0.8922 0.3590 0.4854
20 Br 0.6078 0.1410 0.9854
21 Br 0.8590 0.3922 0.9854
22 Br 0.6410 0.1078 0.4854
23 Br 0.1078 0.6410 0.5146
24 Br 0.3922 0.8590 0.0146
25 Br 0.1099 0.3901 0.2500
26 Br 0.3901 0.1099 0.7500
27 Br 0.8901 0.6099 0.7500
28 Br 0.6099 0.8901 0.2500
29 Ta 0.3379 0.4522 0.1087
30 Ta 0.1621 0.0478 0.6087
31 Ta 0.0478 0.1621 0.3913
32 Ta 0.4522 0.3379 0.8913
33 Ta 0.6621 0.5478 0.8913
34 Ta 0.8379 0.9522 0.3913
35 Ta 0.9522 0.8379 0.6087
36 Ta 0.5478 0.6621 0.1087
37 Ta 0.6244 0.3756 0.0883
38 Ta 0.8756 0.1244 0.5883
39 Ta 0.1244 0.8756 0.4117
40 Ta 0.3756 0.6244 0.9117

Computed properties:
Total magnetization in μB/f.u.: 0.0
Final energy in eV per atom: -5.95
Raw formation energy in meV per atom: -880
Mass density in Mg/m³: 6.80
Crystal system: orthorhombic

---

A relaxed TaTcBr2 crystal. Source: the Alexandria database, functional PBEsol.

Cell: 4.5010 4.5010 4.5010 Å, 60.00 60.00 60.00°
Fractional coordinates of all 4 atoms:
1 Tc 0.0000 0.0000 0.0000
2 Br 0.2500 0.2500 0.2500
3 Br 0.7500 0.7500 0.7500
4 Ta 0.5000 0.5000 0.5000

Computed properties:
Total magnetization in μB/f.u.: 0.0
Final energy in eV per atom: -6.05
Energy above the lowest structure with this stoichiometry in eV per atom: 0.961
Raw formation energy in meV per atom: 838
DOS(E_F) in states/eV/cell: 3.55
Mass density in Mg/m³: 11.30
Crystal system: cubic

---

A relaxed TaTcBr2 crystal. Source: the Alexandria database, functional PBEsol.

Cell: 3.3082 3.3082 9.1895 Å, 79.63 79.63 60.00°
Fractional coordinates of all 4 atoms:
1 Tc 0.2390 0.2390 0.2831
2 Br 0.9809 0.9809 0.0574
3 Br 0.7697 0.7697 0.6908
4 Ta 0.5105 0.5105 0.4686

Computed properties:
Total magnetization in μB/f.u.: 0.0
Final energy in eV per atom: -7.01
Energy above the lowest structure with this stoichiometry in eV per atom: 0.000
Raw formation energy in meV per atom: -123
DOS(E_F) in states/eV/cell: 3.49
Mass density in Mg/m³: 8.55
Crystal system: trigonal

---

A relaxed TaTcBr2 crystal. Source: the Alexandria database, functional PBEsol.

Cell: 3.2966 4.0979 7.1660 Å, 104.65 90.00 90.00°
Fractional coordinates of all 4 atoms:
1 Tc 0.5000 0.4767 0.6504
2 Br 0.0000 0.8946 0.9262
3 Br 0.5000 0.6058 0.3284
4 Ta 0.0000 0.0229 0.5950

Computed properties:
Total magnetization in μB/f.u.: 0.0
Final energy in eV per atom: -6.80
Energy above the lowest structure with this stoichiometry in eV per atom: 0.218
Raw formation energy in meV per atom: 94
DOS(E_F) in states/eV/cell: 1.75
Mass density in Mg/m³: 7.78
Crystal system: monoclinic

---

A relaxed Ta4TcBr crystal. Source: the Alexandria database, functional PBEsol.

Cell: 5.3758 5.3758 5.3758 Å, 60.00 60.00 60.00°
Fractional coordinates of all 6 atoms:
1 Br 0.0000 0.0000 0.0000
2 Ta 0.3757 0.3757 0.3757
3 Ta 0.3757 0.3757 0.8729
4 Ta 0.8729 0.3757 0.3757
5 Ta 0.3757 0.8729 0.3757
6 Tc 0.7500 0.7500 0.7500

Computed properties:
Total magnetization in μB/f.u.: 0.0
Final energy in eV per atom: -9.70
Raw formation energy in meV per atom: 860
DOS(E_F) in states/eV/cell: 2.67
Mass density in Mg/m³: 13.63
Crystal system: cubic

---

A relaxed Ta2TeBr crystal. Source: the Alexandria database, functional PBEsol.

Cell: 3.3813 4.6624 4.6624 Å, 90.00 90.00 90.00°
Fractional coordinates of all 4 atoms:
1 Te 0.5000 0.5000 0.5000
2 Br 0.5000 0.0000 0.0000
3 Ta 0.0000 0.0000 0.5000
4 Ta 0.0000 0.5000 0.0000

Computed properties:
Total magnetization in μB/f.u.: 0.0
Final energy in eV per atom: -7.15
Energy above the lowest structure with this stoichiometry in eV per atom: 0.000
Raw formation energy in meV per atom: 477
DOS(E_F) in states/eV/cell: 6.69
Mass density in Mg/m³: 12.86
Crystal system: tetragonal

---

A relaxed Ta2TeBr crystal. Source: the Alexandria database, functional PBEsol.

Cell: 4.3719 4.3719 5.1146 Å, 115.30 115.30 90.00°
Fractional coordinates of all 4 atoms:
1 Te 0.5000 0.5000 0.0000
2 Br 0.2500 0.7500 0.5000
3 Ta 0.0000 0.0000 0.0000
4 Ta 0.7500 0.2500 0.5000

Computed properties:
Total magnetization in μB/f.u.: 0.0
Final energy in eV per atom: -6.97
Energy above the lowest structure with this stoichiometry in eV per atom: 0.178
Raw formation energy in meV per atom: 655
DOS(E_F) in states/eV/cell: 3.54
Mass density in Mg/m³: 12.14
Crystal system: tetragonal

---

A relaxed Ta2TiTeBr crystal. Source: the Alexandria database, functional PBEsol.

Cell: 5.0128 5.0128 5.5193 Å, 90.00 90.00 90.00°
Fractional coordinates of all 5 atoms:
1 Te 0.0000 0.0000 0.0000
2 Ti 0.5000 0.5000 0.5000
3 Br 0.0000 0.0000 0.5000
4 Ta 0.0000 0.5000 0.0000
5 Ta 0.5000 0.0000 0.0000

Computed properties:
Total magnetization in μB/f.u.: 1.6
Final energy in eV per atom: -5.85
Raw formation energy in meV per atom: 1909
DOS(E_F) in states/eV/cell: 7.18
Mass density in Mg/m³: 7.39
Crystal system: tetragonal

---

A relaxed Ta2TiBr crystal. Source: the Alexandria database, functional PBEsol.

Cell: 4.6025 4.6025 4.6025 Å, 60.00 60.00 60.00°
Fractional coordinates of all 4 atoms:
1 Ti 0.0000 0.0000 0.0000
2 Br 0.5000 0.5000 0.5000
3 Ta 0.2500 0.2500 0.2500
4 Ta 0.7500 0.7500 0.7500

Computed properties:
Total magnetization in μB/f.u.: 0.0
Final energy in eV per atom: -8.05
Raw formation energy in meV per atom: 773
DOS(E_F) in states/eV/cell: 4.24
Mass density in Mg/m³: 11.79
Crystal system: cubic

---

A relaxed Ta2TlBr crystal. Source: the Alexandria database, functional PBEsol.

Cell: 3.0333 4.9770 5.2866 Å, 90.00 90.00 90.00°
Fractional coordinates of all 4 atoms:
1 Tl 0.5000 0.5000 0.0000
2 Br 0.0000 0.5000 0.5000
3 Ta 0.0000 0.0000 0.0000
4 Ta 0.5000 0.0000 0.5000

Computed properties:
Total magnetization in μB/f.u.: 0.0
Final energy in eV per atom: -6.75
Energy above the lowest structure with this stoichiometry in eV per atom: 0.343
Raw formation energy in meV per atom: 654
DOS(E_F) in states/eV/cell: 4.00
Mass density in Mg/m³: 13.44
Crystal system: orthorhombic

---

A relaxed Ta2TlBr crystal. Source: the Alexandria database, functional PBEsol.

Cell: 3.2973 5.0652 5.2172 Å, 90.00 96.03 90.00°
Fractional coordinates of all 4 atoms:
1 Tl 0.5000 0.5000 0.5000
2 Br 0.0000 0.5000 0.0000
3 Ta 0.7963 0.0000 0.6982
4 Ta 0.2037 0.0000 0.3018

Computed properties:
Total magnetization in μB/f.u.: 0.0
Final energy in eV per atom: -6.74
Energy above the lowest structure with this stoichiometry in eV per atom: 0.354
Raw formation energy in meV per atom: 664
DOS(E_F) in states/eV/cell: 2.83
Mass density in Mg/m³: 12.38
Crystal system: monoclinic

---

A relaxed Ta2TlBr crystal. Source: the Alexandria database, functional PBEsol.

Cell: 4.8287 4.8287 4.8287 Å, 60.00 60.00 60.00°
Fractional coordinates of all 4 atoms:
1 Tl 0.7500 0.7500 0.7500
2 Br 0.5000 0.5000 0.5000
3 Ta 0.0000 0.0000 0.0000
4 Ta 0.2500 0.2500 0.2500

Computed properties:
Total magnetization in μB/f.u.: 0.0
Final energy in eV per atom: -6.45
Energy above the lowest structure with this stoichiometry in eV per atom: 0.644
Raw formation energy in meV per atom: 954
DOS(E_F) in states/eV/cell: 4.92
Mass density in Mg/m³: 13.48
Crystal system: cubic

---

A relaxed Ta2TlBr crystal. Source: the Alexandria database, functional PBEsol.

Cell: 3.3945 3.3945 7.7609 Å, 90.00 90.00 90.00°
Fractional coordinates of all 4 atoms:
1 Tl 0.0000 0.0000 0.4435
2 Br 0.5000 0.5000 0.8224
3 Ta 0.0000 0.0000 0.0326
4 Ta 0.5000 0.5000 0.2015

Computed properties:
Total magnetization in μB/f.u.: 0.0
Final energy in eV per atom: -7.09
Energy above the lowest structure with this stoichiometry in eV per atom: 0.000
Raw formation energy in meV per atom: 311
DOS(E_F) in states/eV/cell: 2.03
Mass density in Mg/m³: 12.00
Crystal system: tetragonal

---

A relaxed TaW2Br crystal. Source: the Alexandria database, functional PBEsol.

Cell: 2.9428 4.6701 5.6032 Å, 113.73 103.88 93.11°
Fractional coordinates of all 4 atoms:
1 Br 0.5000 0.0000 0.0000
2 W 0.0000 0.0000 0.5000
3 W 0.5000 0.5000 0.5000
4 Ta 0.0000 0.5000 0.0000

Computed properties:
Total magnetization in μB/f.u.: 0.0
Final energy in eV per atom: -9.66
Raw formation energy in meV per atom: 846
DOS(E_F) in states/eV/cell: 2.62
Mass density in Mg/m³: 15.48
Crystal system: monoclinic